No. 1
Material: CsNa2InPd
Method: DFT, PBE
State: relaxed

The value obtained for the formation energy from the elements is 0.05 eV/atom. The value obtained for the density of states at the Fermi level is 3.4 states/eV per cell. For the excess energy over the best structure of this formula in the dataset, the calculation gives 178 meV per atom.

It has space group P4/mmm (No. 123), with a = 5.848 Å, b = 5.848 Å, c = 5.222 Å, α = 90.00°, β = 90.00° and γ = 90.00°. The distinct sites, in fractional coordinates, are Cs at (0.000, 0.000, 0.000), Na at (0.000, 0.500, 0.500), In at (0.500, 0.500, 0.500) and Pd at (0.500, 0.500, 0.000).

---

No. 2
Material: Cs2NaInPd
Method: DFT, PBE
State: relaxed

The value obtained for the formation energy from the elements is -0.01 eV/atom. The value obtained for the density of states at the Fermi level is 3.6 states/eV per cell.

It has space group P4/mmm (No. 123), with a = 6.814 Å, b = 6.814 Å, c = 5.325 Å, α = 90.00°, β = 90.00° and γ = 90.00°. The distinct sites, in fractional coordinates, are Cs at (0.000, 0.500, 0.000), Na at (0.000, 0.000, 0.500), In at (0.500, 0.500, 0.500) and Pd at (0.500, 0.500, 0.000).

---

No. 3
Material: Cs2NaInPt
Method: DFT, PBE
State: relaxed

The value obtained for the formation energy from the elements is -0.06 eV/atom. The value obtained for the density of states at the Fermi level is 2.7 states/eV per cell.

It has space group P4/mmm (No. 123), with a = 6.823 Å, b = 6.823 Å, c = 5.256 Å, α = 90.00°, β = 90.00° and γ = 90.00°. The distinct sites, in fractional coordinates, are Cs at (0.000, 0.500, 0.000), Na at (0.000, 0.000, 0.500), In at (0.500, 0.500, 0.500) and Pt at (0.500, 0.500, 0.000).

---

No. 4
Material: CsNaIn2Pt
Method: DFT, PBE
State: relaxed

The value obtained for the formation energy from the elements is -0.26 eV/atom. The value obtained for the density of states at the Fermi level is 1.3 states/eV per cell.

It has space group P4/mmm (No. 123), with a = 5.256 Å, b = 5.256 Å, c = 5.903 Å, α = 90.00°, β = 90.00° and γ = 90.00°. The distinct sites, in fractional coordinates, are Cs at (0.000, 0.000, 0.000), Na at (0.500, 0.500, 0.000), In at (0.000, 0.500, 0.500) and Pt at (0.500, 0.500, 0.500).

---

No. 5
Material: CsNa2InPt
Method: DFT, PBE
State: relaxed

The value obtained for the formation energy from the elements is -0.18 eV/atom. The value obtained for the density of states at the Fermi level is 2.2 states/eV per cell.

It has space group P4/mmm (No. 123), with a = 5.794 Å, b = 5.794 Å, c = 5.211 Å, α = 90.00°, β = 90.00° and γ = 90.00°. The distinct sites, in fractional coordinates, are Cs at (0.000, 0.000, 0.000), Na at (0.000, 0.500, 0.500), In at (0.500, 0.500, 0.000) and Pt at (0.500, 0.500, 0.500).

---

No. 6
Material: CsRbNaIn
Method: DFT, PBE
State: relaxed

The value obtained for the formation energy from the elements is 0.09 eV/atom. The value obtained for the density of states at the Fermi level is 19.2 states/eV per cell.

It has space group F-43m (No. 216), with a = 9.154 Å, b = 9.154 Å, c = 9.154 Å, α = 90.00°, β = 90.00° and γ = 90.00°. The distinct sites, in fractional coordinates, are Cs at (0.000, 0.000, 0.000), Rb at (0.250, 0.250, 0.250), Na at (0.250, 0.250, 0.750) and In at (0.000, 0.000, 0.500).

---

No. 7
Material: CsNa2InRh
Method: DFT, PBE
State: relaxed

The value obtained for the formation energy from the elements is 0.07 eV/atom. The value obtained for the density of states at the Fermi level is 2.4 states/eV per cell.

It has space group P4/mmm (No. 123), with a = 5.699 Å, b = 5.699 Å, c = 5.241 Å, α = 90.00°, β = 90.00° and γ = 90.00°. The distinct sites, in fractional coordinates, are Cs at (0.000, 0.000, 0.000), Na at (0.000, 0.500, 0.500), In at (0.500, 0.500, 0.000) and Rh at (0.500, 0.500, 0.500).

---

No. 8
Material: CsNaIn2Rh
Method: DFT, PBE
State: relaxed

The value obtained for the formation energy from the elements is -0.14 eV/atom. The value obtained for the density of states at the Fermi level is 2.2 states/eV per cell.

It has space group P4/mmm (No. 123), with a = 5.237 Å, b = 5.237 Å, c = 5.851 Å, α = 90.00°, β = 90.00° and γ = 90.00°. The distinct sites, in fractional coordinates, are Cs at (0.000, 0.000, 0.000), Na at (0.500, 0.500, 0.000), In at (0.000, 0.500, 0.500) and Rh at (0.500, 0.500, 0.500).

---

No. 9
Material: CsNaInSb2
Method: DFT, PBE
State: relaxed

Its uncorrected formation energy is -318 meV per atom. The value obtained for the density of states at the Fermi level is 6.5 states/eV per cell.

It has space group I-4m2 (No. 119), with a = 5.377 Å, b = 5.377 Å, c = 12.454 Å, α = 90.00°, β = 90.00° and γ = 90.00°. The distinct sites, in fractional coordinates, are Cs at (0.000, 0.000, 0.000), Na at (0.000, 0.500, 0.750), In at (0.000, 0.500, 0.250) and Sb at (0.000, 0.000, 0.382).

---

No. 10
Material: CsNa2InSb2
Method: DFT, PBE
State: relaxed

Its uncorrected formation energy is -324 meV per atom. The value obtained for the density of states at the Fermi level is 1.5 states/eV per cell.

It has space group Pmc2_1 (No. 26), with a = 5.098 Å, b = 8.735 Å, c = 9.512 Å, α = 90.00°, β = 90.00° and γ = 90.00°. The distinct sites, in fractional coordinates, are Cs at (0.000, 0.115, 0.000), Na at (0.000, 0.332, 0.637), Na at (0.500, 0.442, 0.887), In at (0.500, 0.165, 0.365), Sb at (0.000, 0.354, 0.314) and Sb at (0.500, 0.128, 0.694).

---

No. 11
Material: CsNa2InSi
Method: DFT, PBE
State: relaxed

Its uncorrected formation energy is 95 meV per atom. The value obtained for the density of states at the Fermi level is 2.2 states/eV per cell.

It has space group P4/mmm (No. 123), with a = 5.806 Å, b = 5.806 Å, c = 5.547 Å, α = 90.00°, β = 90.00° and γ = 90.00°. The distinct sites, in fractional coordinates, are Cs at (0.000, 0.000, 0.000), Na at (0.000, 0.500, 0.500), In at (0.500, 0.500, 0.000) and Si at (0.500, 0.500, 0.500).

---

No. 12
Material: CsNaInSn
Method: DFT, PBE
State: relaxed

The value obtained for the formation energy from the elements is -0.02 eV/atom. The value obtained for the density of states at the Fermi level is 11.3 states/eV per cell.

It has space group F-43m (No. 216), with a = 8.167 Å, b = 8.167 Å, c = 8.167 Å, α = 90.00°, β = 90.00° and γ = 90.00°. The distinct sites, in fractional coordinates, are Cs at (0.000, 0.000, 0.000), Na at (0.250, 0.250, 0.250), In at (0.250, 0.250, 0.750) and Sn at (0.000, 0.000, 0.500).

---

It is found that the calculated volume values, taken in the order of the records, are 35.718; 49.439; 48.940; 32.615; 34.992; 47.939; 34.052; 32.095; 36.002; 35.301; 37.390; 34.040 Å³/atom.
It is found that the size of the total moment values, taken in the order of the records, are 0.00; 0.00; 0.00; 0.00; 0.00; 1.20; 0.00; 0.00; 0.00; 0.00; 0.00; 0.00 μB per formula unit.